A relaxed Ba2MoPt3O12 crystal, computed with GGA+U.

Summary:
Total energy   -111.227 eV per cell
Density of states at the Fermi level   3.48 states/eV per cell

Cell and atoms, written as POSCAR:
```
Ba2MoPt3O12
1.0
7.3004 0.1085 0.0769
3.6996 6.2944 0.0769
3.6996 2.1535 5.9151
O Pt Ba Mo
12 3 2 1
Direct
0.6642 0.6642 0.0606
0.6642 0.0606 0.6642
0.0692 0.6837 0.0692
0.3163 0.9308 0.9308
0.3358 0.9394 0.3358
0.0606 0.6642 0.6642
0.9308 0.3163 0.9308
0.9308 0.9308 0.3163
0.3358 0.3358 0.9394
0.6837 0.0692 0.0692
0.0692 0.0692 0.6837
0.9394 0.3358 0.3358
0.0000 0.5000 0.0000
0.5000 0.0000 0.0000
0.0000 0.0000 0.5000
0.3353 0.3353 0.3353
0.6647 0.6647 0.6647
0.0000 0.0000 0.0000
```